Entry a
The following is a DFT calculation (PBE) of an optimized crystal structure of HfNbNi2.

Values from the calculation:
N(E_F), states/eV/cell: 13.870

Unit cell a=6.9091 b=6.9091 c=5.4034 alpha=90.00 beta=90.00 gamma=90.00
With the nearest neighbours (Å) after each atom.
Space group I-42d (No. 122)
Inequivalent atoms, fractional coordinates:
1 Hf 0.0000 0.0000 0.0000 (multiplicity 4)  4 Ni 2.58, 2 Nb 2.70
2 Nb 0.0000 0.0000 0.5000 (multiplicity 4)  4 Ni 2.49, 2 Hf 2.70
3 Ni 0.2413 0.2500 0.6250 (multiplicity 8)  2 Nb 2.49, 2 Hf 2.58, 2 Ni 2.70

---

Entry b
The following is a DFT calculation (PBE) of an optimized crystal structure of HfNbNi2.

Values from the calculation:
N(E_F), states/eV/cell: 4.589

Unit cell a=4.1377 b=4.1377 c=3.5565 alpha=90.00 beta=90.00 gamma=90.00
With the nearest neighbours (Å) after each atom.
Space group P4/mmm (No. 123)
Inequivalent atoms, fractional coordinates:
1 Hf 0.0000 0.0000 0.0000 (multiplicity 1)  8 Ni 2.73, 4 Nb 2.93
2 Nb 0.5000 0.5000 0.0000 (multiplicity 1)  8 Ni 2.73, 4 Hf 2.93
3 Ni 0.0000 0.5000 0.5000 (multiplicity 2)  4 Hf 2.73, 4 Nb 2.73, 4 Ni 2.93

---

Short version: entry b is the most stable of them.

---

Entry a
The following is a DFT calculation (PBE) of an optimized crystal structure of HfNbNi2.

Values from the calculation:
N(E_F), states/eV/cell: 21.645

Unit cell a=6.2636 b=6.2636 c=6.2636 alpha=90.00 beta=90.00 gamma=90.00
With the nearest neighbours (Å) after each atom.
Space group Fm-3m (No. 225)
Inequivalent atoms, fractional coordinates:
1 Hf 0.0000 0.0000 0.0000 (multiplicity 4)  8 Ni 2.71
2 Nb 0.0000 0.0000 0.5000 (multiplicity 4)  8 Ni 2.71
3 Ni 0.2500 0.2500 0.2500 (multiplicity 8)  4 Hf 2.71, 4 Nb 2.71

---

Entry b
The following is a DFT calculation (PBE) of an optimized crystal structure of HfNbNi2.

Values from the calculation:
N(E_F), states/eV/cell: 3.583

Unit cell a=3.0995 b=3.0995 c=6.3848 alpha=90.00 beta=90.00 gamma=90.00
With the nearest neighbours (Å) after each atom.
Space group P4/mmm (No. 123)
Inequivalent atoms, fractional coordinates:
1 Hf 0.0000 0.0000 0.0000 (multiplicity 1)  8 Ni 2.68
2 Nb 0.0000 0.0000 0.5000 (multiplicity 1)  8 Ni 2.74
3 Ni 0.5000 0.5000 0.2420 (multiplicity 2)  4 Hf 2.68, 4 Nb 2.74

---

Short version: entry b is the most stable of them.

---

Entry a
The following is a DFT calculation (PBE) of an optimized crystal structure of HfNbNi.

Values from the calculation:
N(E_F), states/eV/cell: 6.806

Unit cell a=3.4475 b=3.5935 c=8.5087 alpha=90.00 beta=101.62 gamma=90.00
With the nearest neighbours (Å) after each atom.
Space group P2_1/m (No. 11)
Inequivalent atoms, fractional coordinates:
1 Hf 0.0979 0.2500 0.1967 (multiplicity 2)  4 Ni 2.63
2 Nb 0.2881 0.2500 0.5746 (multiplicity 2)  1 Ni 2.76, 4 Nb 2.78-2.79
3 Ni 0.4528 0.2500 0.9062 (multiplicity 2)  2 Ni 2.38, 4 Hf 2.63

---

Entry b
The following is a DFT calculation (PBE) of an optimized crystal structure of HfNbNi.

Values from the calculation:
N(E_F), states/eV/cell: 56.590

Unit cell a=5.2064 b=8.6706 c=17.8959 alpha=90.00 beta=90.00 gamma=90.00
With the nearest neighbours (Å) after each atom.
Space group Fddd (No. 70, origin choice 2)
Inequivalent atoms, fractional coordinates:
1 Hf 0.1250 0.2960 0.1250 (multiplicity 16)  4 Ni 2.67-2.69, 3 Hf 2.94-2.97
2 Nb 0.1250 0.1250 0.5460 (multiplicity 16)  4 Ni 2.66-2.73, 1 Nb 2.83
3 Ni 0.1250 0.1250 0.0007 (multiplicity 16)  2 Ni 2.53, 4 Nb 2.66-2.73, 4 Hf 2.67-2.69

---

Entry c
The following is a DFT calculation (PBE) of an optimized crystal structure of HfNbNi.

Values from the calculation:
N(E_F), states/eV/cell: 4.765

Unit cell a=3.0843 b=3.0843 c=10.7623 alpha=90.00 beta=90.00 gamma=90.00
With the nearest neighbours (Å) after each atom.
Space group I4mm (No. 107)
Inequivalent atoms, fractional coordinates:
1 Hf 0.0000 0.0000 0.0000 (multiplicity 2)  4 Ni 2.77, 4 Nb 3.03, 4 Hf 3.08
2 Nb 0.0000 0.0000 0.3052 (multiplicity 2)  4 Ni 2.69
3 Ni 0.0000 0.0000 0.6586 (multiplicity 2)  4 Nb 2.69, 4 Hf 2.77

---

Short version: entry b is the most stable of them.

---

Entry a
The following is a DFT calculation (PBE) of an optimized crystal structure of HfNb2Ni.

Values from the calculation:
N(E_F), states/eV/cell: 13.611

Unit cell a=3.7750 b=3.7750 c=20.5598 alpha=90.00 beta=90.00 gamma=90.00
With the nearest neighbours (Å) after each atom.
Space group I-42d (No. 122)
Inequivalent atoms, fractional coordinates:
1 Hf 0.0000 0.0000 0.0000 (multiplicity 4)  4 Ni 2.67, 4 Nb 2.90
2 Nb 0.2484 0.2500 0.6250 (multiplicity 8)  4 Nb 2.66-2.68, 2 Ni 2.89, 2 Hf 2.90
3 Ni 0.0000 0.0000 0.5000 (multiplicity 4)  4 Hf 2.67, 4 Nb 2.89

---

Entry b
The following is a DFT calculation (PBE) of an optimized crystal structure of HfNb2Ni.

Values from the calculation:
N(E_F), states/eV/cell: 5.696

Unit cell a=6.4815 b=6.4815 c=6.4815 alpha=90.00 beta=90.00 gamma=90.00
With the nearest neighbours (Å) after each atom.
Space group Fm-3m (No. 225)
Inequivalent atoms, fractional coordinates:
1 Hf 0.0000 0.0000 0.0000 (multiplicity 4)  8 Nb 2.81
2 Nb 0.2500 0.2500 0.2500 (multiplicity 8)  4 Hf 2.81, 4 Ni 2.81
3 Ni 0.0000 0.0000 0.5000 (multiplicity 4)  8 Nb 2.81

---

Short version: entry b is the most stable of them.

---

Entry a
The following is a DFT calculation (PBE) of an optimized crystal structure of Hf2NbNi2.

Values from the calculation:
N(E_F), states/eV/cell: 7.852

Unit cell a=7.4537 b=7.4537 c=3.0250 alpha=90.00 beta=90.00 gamma=90.00
With the nearest neighbours (Å) after each atom.
Space group P4/mbm (No. 127)
Inequivalent atoms, fractional coordinates:
1 Hf 0.1589 0.3411 0.0000 (multiplicity 4)  6 Ni 2.64-2.67, 2 Nb 2.80
2 Nb 0.0000 0.0000 0.0000 (multiplicity 2)  4 Hf 2.80, 2 Nb 3.02
3 Ni 0.1357 0.6357 0.5000 (multiplicity 4)  6 Hf 2.64-2.67, 1 Ni 2.86

---

Entry b
The following is a DFT calculation (PBE) of an optimized crystal structure of Hf2NbNi2.

Values from the calculation:
N(E_F), states/eV/cell: 13.071

Unit cell a=7.2259 b=7.2259 c=3.2073 alpha=90.00 beta=90.00 gamma=90.00
With the nearest neighbours (Å) after each atom.
Space group P4/mbm (No. 127)
Inequivalent atoms, fractional coordinates:
1 Hf 0.1696 0.3304 0.0000 (multiplicity 4)  6 Ni 2.64-2.68
2 Nb 0.0000 0.0000 0.5000 (multiplicity 2)  4 Ni 2.86, 8 Hf 3.13
3 Ni 0.1248 0.6248 0.5000 (multiplicity 4)  1 Ni 2.55, 6 Hf 2.64-2.68, 2 Nb 2.86

---

Short version: entry b is the most stable of them.

---

Entry a
The following is a DFT calculation (PBE) of an optimized crystal structure of HfNbO2.

Values from the calculation:
N(E_F), states/eV/cell: 9.076

Unit cell a=4.9470 b=4.9470 c=9.7552 alpha=90.00 beta=90.00 gamma=90.00
With the nearest neighbours (Å) after each atom.
Space group I-42d (No. 122)
Inequivalent atoms, fractional coordinates:
1 Hf 0.0000 0.0000 0.0000 (multiplicity 4)  4 O 2.04
2 Nb 0.0000 0.0000 0.5000 (multiplicity 4)  4 O 2.23
3 O 0.2158 0.2500 0.1250 (multiplicity 8)  2 Hf 2.04, 2 Nb 2.23

---

Entry b
The following is a DFT calculation (PBE) of an optimized crystal structure of HfNbO2.

Values from the calculation:
N(E_F), states/eV/cell: 10.372

Unit cell a=3.3471 b=3.3471 c=17.6267 alpha=90.00 beta=90.00 gamma=120.00
With the nearest neighbours (Å) after each atom.
Space group R-3m (No. 166, hexagonal axes)
Inequivalent atoms, fractional coordinates:
1 Hf 0.0000 0.0000 0.0000 (multiplicity 3)  6 O 2.10
2 Nb 0.0000 0.0000 0.5000 (multiplicity 3)  2 O 2.12
3 O 0.0000 0.0000 0.3798 (multiplicity 6)  3 Hf 2.10, 1 Nb 2.12

---

Short version: entry b is the most stable of them.